# 1
The following is a DFT calculation (GGA-PBE) of crystalline AlInSe2 at its relaxed geometry.

## Properties
- E_tot: -3.94 eV per atom

Structure (CIF):
```
data_AlInSe2
_cell_length_a 8.9073
_cell_length_b 3.6292
_cell_length_c 13.7443
_cell_angle_alpha 90.00
_cell_angle_beta 90.00
_cell_angle_gamma 90.00
_space_group_name_H-M_alt 'P n m a'
_space_group_IT_number 62
_space_group_name_Hall '-P 2ac 2n'
loop_
_atom_site_label
_atom_site_type_symbol
_atom_site_fract_x
_atom_site_fract_y
_atom_site_fract_z
Al1 Al 0.0121 0.2500 0.1024
In1 In 0.1080 0.2500 0.5925
Se1 Se 0.1115 0.7500 0.2080
Se2 Se 0.1763 0.2500 0.9572
```


# 2
The following is a DFT calculation (GGA-PBE) of crystalline AlInSe2 at its relaxed geometry.

## Properties
- E_tot: -4.03 eV per atom

Structure (CIF):
```
data_AlInSe2
_cell_length_a 6.4044
_cell_length_b 6.4318
_cell_length_c 7.1181
_cell_angle_alpha 77.29
_cell_angle_beta 63.29
_cell_angle_gamma 60.78
_space_group_name_H-M_alt 'P 1'
_space_group_IT_number 1
_space_group_name_Hall 'P 1'
loop_
_atom_site_label
_atom_site_type_symbol
_atom_site_fract_x
_atom_site_fract_y
_atom_site_fract_z
Al1 Al 0.0000 0.0000 0.0000
Al2 Al 0.2691 0.2711 0.0002
In1 In 0.4971 0.5689 0.3906
In2 In 0.8857 0.5734 0.6103
Se1 Se 0.0604 0.0646 0.2914
Se2 Se 0.3514 0.0651 0.7087
Se3 Se 0.5983 0.3480 0.9998
Se4 Se 0.9213 0.6726 0.0005
```


# 3
The following is a DFT calculation (GGA-PBE) of crystalline AlIn2Se at its relaxed geometry.

## Properties
- E_tot: -3.21 eV per atom

Structure (CIF):
```
data_AlIn2Se
_cell_length_a 5.8969
_cell_length_b 8.3323
_cell_length_c 4.4867
_cell_angle_alpha 90.00
_cell_angle_beta 114.87
_cell_angle_gamma 90.00
_space_group_name_H-M_alt 'C 1 2/m 1'
_space_group_IT_number 12
_space_group_name_Hall '-C 2y'
loop_
_atom_site_label
_atom_site_type_symbol
_atom_site_fract_x
_atom_site_fract_y
_atom_site_fract_z
Al1 Al 0.0000 0.0000 0.0000
In1 In 0.2500 0.2500 0.5000
Se1 Se 0.0000 0.5000 0.0000
```


# 4
The following is a DFT calculation (GGA-PBE) of crystalline AlIn2Se at its relaxed geometry.

## Properties
- E_tot: -3.04 eV per atom

Structure (CIF):
```
data_AlIn2Se
_cell_length_a 7.3165
_cell_length_b 7.3165
_cell_length_c 7.3165
_cell_angle_alpha 90.00
_cell_angle_beta 90.00
_cell_angle_gamma 90.00
_space_group_name_H-M_alt 'F -4 3 m'
_space_group_IT_number 216
_space_group_name_Hall 'F -4 2 3'
loop_
_atom_site_label
_atom_site_type_symbol
_atom_site_fract_x
_atom_site_fract_y
_atom_site_fract_z
Al1 Al 0.0000 0.0000 0.0000
In1 In 0.0000 0.0000 0.5000
In2 In 0.2500 0.2500 0.7500
Se1 Se 0.2500 0.2500 0.2500
```


# 5
The following is a DFT calculation (GGA-PBE) of crystalline AlIn2Se at its relaxed geometry.

## Properties
- E_tot: -3.25 eV per atom

Structure (CIF):
```
data_AlIn2Se
_cell_length_a 3.9375
_cell_length_b 3.9375
_cell_length_c 22.2149
_cell_angle_alpha 90.00
_cell_angle_beta 90.00
_cell_angle_gamma 120.00
_space_group_name_H-M_alt 'R -3 m'
_space_group_IT_number 166
_space_group_name_Hall '-R 3 2"'
loop_
_atom_site_label
_atom_site_type_symbol
_atom_site_fract_x
_atom_site_fract_y
_atom_site_fract_z
Al1 Al 0.0000 0.0000 0.0000
In1 In 0.0000 0.0000 0.2501
Se1 Se 0.0000 0.0000 0.5000
```


# 6
The following is a DFT calculation (GGA-PBE) of crystalline AlInSe2 at its relaxed geometry.

## Properties
- E_tot: -4.03 eV per atom

Structure (CIF):
```
data_AlInSe2
_cell_length_a 11.7731
_cell_length_b 6.1614
_cell_length_c 8.2605
_cell_angle_alpha 90.00
_cell_angle_beta 116.03
_cell_angle_gamma 90.00
_space_group_name_H-M_alt 'C 1 2 1'
_space_group_IT_number 5
_space_group_name_Hall 'C 2y'
loop_
_atom_site_label
_atom_site_type_symbol
_atom_site_fract_x
_atom_site_fract_y
_atom_site_fract_z
Al1 Al 0.0000 0.0000 0.0000
Al2 Al 0.0000 0.4933 0.0000
In1 In 0.1576 0.9431 0.6711
Se1 Se 0.0711 0.2464 0.2526
Se2 Se 0.1632 0.7455 0.0181
```


# 7
The following is a DFT calculation (GGA-PBE) of crystalline AlInSe2 at its relaxed geometry.

## Properties
- E_tot: -3.73 eV per atom

Structure (CIF):
```
data_AlInSe2
_cell_length_a 4.0302
_cell_length_b 4.0302
_cell_length_c 5.7743
_cell_angle_alpha 90.00
_cell_angle_beta 90.00
_cell_angle_gamma 90.00
_space_group_name_H-M_alt 'P 4/m m m'
_space_group_IT_number 123
_space_group_name_Hall '-P 4 2'
loop_
_atom_site_label
_atom_site_type_symbol
_atom_site_fract_x
_atom_site_fract_y
_atom_site_fract_z
Al1 Al 0.0000 0.0000 0.0000
In1 In 0.5000 0.5000 0.5000
Se1 Se 0.0000 0.0000 0.5000
Se2 Se 0.5000 0.5000 0.0000
```


# 8
The following is a DFT calculation (GGA-PBE) of crystalline AlInSe2 at its relaxed geometry.

## Properties
- E_tot: -3.70 eV per atom

Structure (CIF):
```
data_AlInSe2
_cell_length_a 3.5424
_cell_length_b 26.4453
_cell_length_c 4.1907
_cell_angle_alpha 90.00
_cell_angle_beta 90.00
_cell_angle_gamma 90.00
_space_group_name_H-M_alt 'C m c m'
_space_group_IT_number 63
_space_group_name_Hall '-C 2c 2'
loop_
_atom_site_label
_atom_site_type_symbol
_atom_site_fract_x
_atom_site_fract_y
_atom_site_fract_z
Al1 Al 0.0000 0.1900 0.2500
In1 In 0.0000 0.4548 0.2500
Se1 Se 0.0000 0.2858 0.2500
Se2 Se 0.0000 0.3813 0.7500
```


# 9
The following is a DFT calculation (GGA-PBE) of crystalline AlInSe2 at its relaxed geometry.

## Properties
- E_tot: -3.80 eV per atom

Structure (CIF):
```
data_AlInSe2
_cell_length_a 3.7576
_cell_length_b 3.7576
_cell_length_c 27.2360
_cell_angle_alpha 90.00
_cell_angle_beta 90.00
_cell_angle_gamma 120.00
_space_group_name_H-M_alt 'R 3 m'
_space_group_IT_number 160
_space_group_name_Hall 'R 3 -2"'
loop_
_atom_site_label
_atom_site_type_symbol
_atom_site_fract_x
_atom_site_fract_y
_atom_site_fract_z
Al1 Al 0.0000 0.0000 0.0000
In1 In 0.0000 0.0000 0.7523
Se1 Se 0.0000 0.0000 0.2889
Se2 Se 0.0000 0.0000 0.4763
```


# 10
The following is a DFT calculation (GGA-PBE) of crystalline AlIn2Se at its relaxed geometry.

## Properties
- E_tot: -3.29 eV per atom

Structure (CIF):
```
data_AlIn2Se
_cell_length_a 3.5226
_cell_length_b 5.4885
_cell_length_c 10.2551
_cell_angle_alpha 90.00
_cell_angle_beta 90.00
_cell_angle_gamma 90.00
_space_group_name_H-M_alt 'I m m 2'
_space_group_IT_number 44
_space_group_name_Hall 'I 2 -2'
loop_
_atom_site_label
_atom_site_type_symbol
_atom_site_fract_x
_atom_site_fract_y
_atom_site_fract_z
Al1 Al 0.0000 0.0000 0.0000
In1 In 0.0000 0.0000 0.5324
In2 In 0.0000 0.5000 0.7466
Se1 Se 0.0000 0.5000 0.3282
```


# 11
The following is a DFT calculation (GGA-PBE) of crystalline Al4InSe7 at its relaxed geometry.

## Properties
- E_tot: -4.24 eV per atom

Structure (CIF):
```
data_Al4InSe7
_cell_length_a 15.9107
_cell_length_b 6.7625
_cell_length_c 6.4138
_cell_angle_alpha 90.00
_cell_angle_beta 90.00
_cell_angle_gamma 90.00
_space_group_name_H-M_alt 'P m n 21'
_space_group_IT_number 31
_space_group_name_Hall 'P 2ac -2'
loop_
_atom_site_label
_atom_site_type_symbol
_atom_site_fract_x
_atom_site_fract_y
_atom_site_fract_z
Al1 Al 0.1250 0.1580 0.0000
Al2 Al 0.2438 0.6797 0.9903
In1 In 0.0000 0.4183 0.4869
Se1 Se 0.0000 0.3542 0.9212
Se2 Se 0.1194 0.8309 0.8750
Se3 Se 0.1276 0.1587 0.3818
Se4 Se 0.2489 0.6664 0.3765
```


# 12
The following is a DFT calculation (GGA-PBE) of crystalline SmAlIn2Se6 at its relaxed geometry.

## Properties
- E_tot: -4.38 eV per atom

Structure (CIF):
```
data_SmAlIn2Se6
_cell_length_a 13.8097
_cell_length_b 13.8884
_cell_length_c 7.1245
_cell_angle_alpha 90.00
_cell_angle_beta 110.70
_cell_angle_gamma 90.00
_space_group_name_H-M_alt 'C 1 2/c 1'
_space_group_IT_number 15
_space_group_name_Hall '-C 2yc'
loop_
_atom_site_label
_atom_site_type_symbol
_atom_site_fract_x
_atom_site_fract_y
_atom_site_fract_z
Sm1 Sm 0.0000 0.0893 0.2500
Al1 Al 0.0000 0.1608 0.7500
In1 In 0.0835 0.4049 0.1158
Se1 Se 0.1193 0.2273 0.0641
Se2 Se 0.1261 0.0637 0.6733
Se3 Se 0.1270 0.4233 0.5127
```